Record 1
DFT (SCAN) results for a crystal of CoTcNi2Ru relaxed with PBEsol.

## Properties
**D(E_F)**: 6.548 states/eV/cell
**DFT formation energy**: 1.7445 eV per atom

Cell lengths 4.364, 4.364, 4.453 Å; angles 90.00, 90.00, 90.00 degrees
Positions (direct):
Tc 0.000 0.000 0.500
Ni 0.000 0.500 0.000
Ni 0.500 0.000 0.000
Co 0.500 0.500 0.500
Ru 0.000 0.000 0.000

Record 2
DFT (SCAN) results for a crystal of TaP2NO relaxed with PBEsol.

## Properties
**D(E_F)**: 1.173 states/eV/cell
**ΔE_f (raw)**: 2.66 eV per formula unit

Cell lengths 3.836, 4.868, 4.868 Å; angles 90.00, 90.00, 90.00 degrees
Positions (direct):
Ta 0.000 0.000 0.000
N 0.500 0.500 0.500
P 0.000 0.500 0.000
P 0.000 0.000 0.500
O 0.500 0.000 0.000

Record 3
DFT (SCAN) results for a crystal of RbSb2F7 relaxed with PBEsol.

## Properties
**D(E_F)**: 0.000 states/eV/cell
**ΔE_f (raw)**: -25.91 eV per formula unit

Cell lengths 6.505, 8.620, 12.612 Å; angles 100.79, 90.00, 90.00 degrees
Positions (direct):
F 0.538 0.678 0.105
F 0.020 0.394 0.302
F 0.592 0.723 0.714
F 0.980 0.606 0.698
F 0.895 0.880 0.643
F 0.962 0.178 0.105
F 0.304 0.583 0.826
F 0.408 0.277 0.286
F 0.605 0.380 0.643
F 0.444 0.866 0.905
F 0.580 0.832 0.505
F 0.080 0.668 0.495
F 0.056 0.366 0.905
F 0.480 0.894 0.302
F 0.696 0.417 0.174
F 0.038 0.822 0.895
F 0.920 0.332 0.505
F 0.556 0.134 0.095
F 0.804 0.917 0.174
F 0.105 0.120 0.357
F 0.462 0.322 0.895
F 0.908 0.223 0.714
F 0.944 0.634 0.095
F 0.520 0.106 0.698
F 0.092 0.777 0.286
F 0.196 0.083 0.826
F 0.395 0.620 0.357
F 0.420 0.168 0.495
Sb 0.293 0.834 0.417
Sb 0.257 0.792 0.782
Sb 0.757 0.708 0.218
Sb 0.743 0.208 0.218
Sb 0.707 0.166 0.583
Sb 0.243 0.292 0.782
Sb 0.793 0.666 0.583
Sb 0.207 0.334 0.417
Rb 0.764 0.081 0.891
Rb 0.736 0.581 0.891
Rb 0.236 0.919 0.109
Rb 0.264 0.419 0.109

Record 4
DFT (SCAN) results for a crystal of Li2CaTa2O7 relaxed with PBEsol.

## Properties
**D(E_F)**: 0.000 states/eV/cell
**ΔE_f (raw)**: -36.02 eV per formula unit
**ΔE to the lowest computed polymorph**: 0.38 eV/f.u.

Cell lengths 3.922, 3.922, 9.483 Å; angles 101.93, 101.93, 90.00 degrees
Positions (direct):
Li 0.250 0.750 0.500
Li 0.750 0.250 0.500
O 0.399 0.899 0.799
O 0.500 0.500 0.000
O 0.717 0.717 0.434
O 0.601 0.101 0.201
O 0.899 0.399 0.799
O 0.283 0.283 0.566
O 0.101 0.601 0.201
Ta 0.387 0.387 0.774
Ta 0.613 0.613 0.226
Ca 0.000 0.000 0.000

Record 5
DFT (SCAN) results for a crystal of Ge2IrWF relaxed with PBEsol.

## Properties
**D(E_F)**: 4.298 states/eV/cell
**ΔE_f (raw)**: 4.32 eV per formula unit

Cell lengths 3.887, 4.403, 4.403 Å; angles 90.00, 90.00, 90.00 degrees
Positions (direct):
F 0.000 0.000 0.000
Ge 0.000 0.500 0.000
Ge 0.000 0.000 0.500
W 0.500 0.000 0.000
Ir 0.500 0.500 0.500

Record 6
DFT (SCAN) results for a crystal of Ba2SrRu relaxed with PBEsol.

## Properties
**D(E_F)**: 3.610 states/eV/cell
**DFT formation energy**: 0.6272 eV per atom
**ΔE to the lowest computed polymorph**: 0.43 eV/f.u.

Cell lengths 5.482, 5.667, 5.482 Å; angles 61.07, 90.00, 118.93 degrees
Positions (direct):
Ba 0.000 0.000 0.000
Ba 0.250 0.500 0.250
Sr 0.750 0.500 0.750
Ru 0.500 0.000 0.500

Record 7
DFT (SCAN) results for a crystal of KSi2Sb relaxed with PBEsol.

## Properties
**D(E_F)**: 1.071 states/eV/cell
**ΔE_f (raw)**: 1.03 eV per formula unit

Cell lengths 3.538, 3.538, 7.471 Å; angles 90.00, 90.00, 90.00 degrees
Positions (direct):
K 0.000 0.000 0.476
Sb 0.500 0.500 0.819
Si 0.000 0.000 0.041
Si 0.500 0.500 0.164

Record 8
DFT (SCAN) results for a crystal of As2RuBr relaxed with PBEsol.

## Properties
**D(E_F)**: 2.976 states/eV/cell
**ΔE_f (raw)**: 0.92 eV per formula unit
**ΔE to the lowest computed polymorph**: 0.00 eV/f.u.

Cell lengths 3.229, 3.232, 7.186 Å; angles 90.00, 90.00, 90.00 degrees
Positions (direct):
As 0.500 0.500 0.826
As 0.000 0.000 0.034
Br 0.000 0.000 0.454
Ru 0.500 0.500 0.186

Which DFT total energy belongs to each record? In order, -110.81, -100.25, -145.95, -227.25, -178.19, -133.69, -64.59, -93.74 eV/f.u..